Below is OsPt2Cl after structural relaxation, with properties calculated at the PBE level.

The size of the total moment is 0.9 μB/f.u. The value obtained for the polymorph energy (0 for the lowest one) is 2.75 eV/f.u. Its uncorrected formation energy is 0.988 eV per atom.

Cell and atoms, written as CIF:
```
data_OsPt2Cl
_chemical_formula_sum 'Os4 Pt8 Cl4'
_cell_length_a 6.364
_cell_length_b 6.364
_cell_length_c 6.364
_cell_angle_alpha 90.00
_cell_angle_beta 90.00
_cell_angle_gamma 90.00
_space_group_name_H-M_alt 'F m -3 m'
_space_group_IT_number 225
_space_group_name_Hall '-F 4 2 3'
loop_
_atom_site_label
_atom_site_type_symbol
_atom_site_fract_x
_atom_site_fract_y
_atom_site_fract_z
Os1 Os 0.000 0.000 0.000
Pt1 Pt 0.250 0.250 0.250
Cl1 Cl 0.000 0.000 0.500
```